GGA-PBE LaZr2Hg2, relaxed; VASP energy = -4.629 eV per atom; N(E_F) = 1.867 states/eV per atom; space group = No. 139; size of the total moment = 0.0 Bohr magnetons per cell; energy of formation = -0.1035 eV per atom
1.0
-2.166 2.166 7.020
2.166 -2.166 7.020
2.166 2.166 -7.020
La Zr Hg
1 2 2
Cartesian
0.000 0.000 0.000
2.166 0.000 3.510
0.000 2.166 3.510
0.000 0.000 5.578
0.000 0.000 8.462